[1]
Material: BaCd2Hg
Method: DFT, PBE
State: relaxed

## Properties
* DOS at the Fermi energy: 3.34 states/eV per cell
* total DFT energy (no corrections): -1.260 eV/atom
* crystal system: trigonal
* calculated formation energy: -0.25 eV per atom

Cell: 6.393 6.393 6.393 Å, 46.90 46.90 46.90°
Atoms (fractional coordinates):
Ba  0.750  0.750  0.750
Hg  0.250  0.250  0.250
Cd  0.537  0.537  0.537
Cd  0.963  0.963  0.963

[2]
Material: TcRuRh2
Method: DFT, PBE
State: relaxed

## Properties
* energy above the lowest structure with this stoichiometry: 0.32 eV per formula unit
* DOS at the Fermi energy: 4.30 states/eV per cell
* total DFT energy (no corrections): -8.582 eV/atom
* crystal system: monoclinic
* calculated formation energy: 0.00 eV per atom

Cell: 4.719 4.719 4.699 Å, 80.55 80.55 33.33°
Atoms (fractional coordinates):
Tc  0.250  0.250  0.250
Ru  0.750  0.750  0.750
Rh  0.000  0.000  0.000
Rh  0.500  0.500  0.500

[3]
Material: BaZrBi2N
Method: DFT, PBE
State: relaxed

## Properties
* ΔE_f (raw): 0.9882 eV/atom
* DOS at the Fermi energy: 6.58 states/eV per cell
* total DFT energy (no corrections): -4.323 eV/atom
* crystal system: tetragonal

Cell: 5.591 6.569 5.591 Å, 90.00 90.00 90.00°
Site moments in Bohr magnetons follow the coordinates.
Atoms (fractional coordinates):
Ba  0.000  0.500  0.000  -0.01
Bi  0.000  0.000  0.500  0.02
Bi  0.500  0.000  0.000  0.02
N  0.500  0.500  0.500  1.52
Zr  0.000  0.000  0.000  0.04

[4]
Material: PrHfZr2N4
Method: DFT, PBE
State: relaxed

## Properties
* ΔE_f (raw): -1.5385 eV/atom
* DOS at the Fermi energy: 4.07 states/eV per cell
* total DFT energy (no corrections): -9.680 eV/atom
* crystal system: orthorhombic

Cell: 6.703 6.703 6.669 Å, 119.84 119.84 90.03°
Atoms (fractional coordinates):
N  0.739  0.761  0.990
N  0.280  0.768  0.524
Hf  0.500  0.500  0.500
N  0.261  0.239  0.490
Zr  0.500  0.500  0.000
N  0.261  0.239  0.010
Zr  0.500  0.000  0.000
N  0.739  0.761  0.510
Zr  0.500  0.000  0.500
N  0.268  0.780  0.024
Pr  0.000  0.500  0.000
N  0.732  0.220  0.976
N  0.720  0.232  0.476
Hf  0.000  0.000  0.000
Pr  0.000  0.500  0.500
Zr  0.000  0.000  0.500

[5]
Material: PrTlSe3
Method: DFT, PBE
State: relaxed

## Properties
* ΔE_f (raw): -0.9649 eV/atom
* DOS at the Fermi energy: 1.77 states/eV per cell
* total DFT energy (no corrections): -4.485 eV/atom
* crystal system: monoclinic

Cell: 4.358 8.543 8.543 Å, 67.13 89.40 89.40°
Atoms (fractional coordinates):
Se  0.464  0.348  0.787
Tl  0.743  0.667  0.676
Tl  0.742  0.237  0.106
Pr  0.522  0.707  0.146
Se  0.463  0.916  0.747
Pr  0.963  0.198  0.637
Se  0.463  0.308  0.355
Se  0.021  0.596  0.427
Se  0.021  0.557  0.996
Se  0.021  0.988  0.035

[6]
Material: Pr2Cd3Sn3
Method: DFT, PBE
State: relaxed

## Properties
* DOS at the Fermi energy: 3.64 states/eV per cell
* total DFT energy (no corrections): -3.524 eV/atom
* crystal system: orthorhombic
* calculated formation energy: -0.49 eV per atom

Cell: 4.860 4.715 9.126 Å, 90.00 90.00 90.00°
Atoms (fractional coordinates):
Pr  0.000  0.000  0.255
Pr  0.000  0.000  0.745
Sn  0.000  0.500  0.500
Cd  0.500  0.500  0.241
Sn  0.500  0.000  0.500
Cd  0.500  0.500  0.759
Sn  0.000  0.500  0.000
Cd  0.500  0.000  0.000